Record 1
This record from Alexandria describes a relaxed CsRb2CdBr5 crystal. The functional is PBE.

Geometry as POSCAR:
```
CsRb2CdBr5
1.0
9.533 0.000 0.000
0.000 9.533 0.000
-4.767 -4.767 7.986
Cs Rb Cd Br
2 4 2 10
direct
0.250 0.250 0.500
0.750 0.750 0.500
0.161 0.339 0.000
0.661 0.161 0.000
0.339 0.839 0.000
0.839 0.661 0.000
0.250 0.750 0.500
0.750 0.250 0.500
0.996 0.496 0.291
0.705 0.205 0.709
0.004 0.504 0.709
0.205 0.004 0.709
0.504 0.705 0.709
0.795 0.996 0.291
0.496 0.295 0.291
0.295 0.795 0.291
0.500 0.500 0.000
0.000 0.000 0.000
```

Summary:
As for the size of the total moment: 0.3 μB/cell. The crystal system is tetragonal. The calculation puts the uncorrected formation energy at -143 kJ/mol of atoms.


Record 2
This record from Alexandria describes a relaxed Te3CCl crystal. The functional is PBE.

Geometry as POSCAR:
```
Te3CCl
1.0
-1.526 -4.594 -0.453
4.362 -1.591 1.443
-1.511 0.046 4.621
C Te Cl
1 3 1
direct
0.000 0.000 0.000
0.000 0.500 0.000
0.000 0.000 0.500
0.500 0.000 0.000
0.500 0.500 0.500
```

Summary:
As for the size of the total moment: 0.0 μB/cell. The crystal system is cubic. The offset from the most stable computed form comes out at 0 meV per atom. The calculation puts the uncorrected formation energy at 93 kJ/mol of atoms.


Record 3
This record from Alexandria describes a relaxed Zn2Ga4Mo crystal. The functional is PBE.

Geometry as POSCAR:
```
Zn2Ga4Mo
1.0
6.068 0.000 0.000
0.000 6.068 0.000
-3.034 -3.034 3.320
Zn Ga Mo
2 4 1
direct
0.750 0.250 0.500
0.250 0.750 0.500
0.975 0.302 0.277
0.302 0.975 0.277
0.698 0.698 0.723
0.025 0.025 0.723
0.500 0.500 0.000
```

Summary:
As for the size of the total moment: 0.0 μB/cell. The crystal system is tetragonal. The calculated formation energy is 368 meV per atom.


Record 4
This record from Alexandria describes a relaxed AsP2Os crystal. The functional is PBE.

Geometry as POSCAR:
```
AsP2Os
1.0
3.053 0.000 0.000
0.000 3.053 0.000
0.000 0.000 7.075
As Os P
1 1 2
direct
0.000 0.000 0.566
0.500 0.500 0.784
0.000 0.000 0.006
0.500 0.500 0.145
```

Summary:
As for the size of the total moment: 0.0 μB/cell. The crystal system is tetragonal. The calculated formation energy is 284 meV per atom.